BaSr2InPd after structural relaxation. Source: OQMD via LeMat-Bulk, functional PBE.

Geometry as POSCAR:
```
BaSr2InPd
1.0
-2.912 2.912 5.535
2.912 -2.912 5.535
2.912 2.912 -5.535
Ba Sr In Pd
1 2 1 1
direct
0.000 0.000 0.000
0.239 0.739 0.500
0.739 0.239 0.500
0.547 0.547 0.000
0.304 0.304 0.000
```

The calculation puts the total energy at -2.98 eV/atom.